Here is an optimized crystal structure of NbOsW from Alexandria. Energies are from PBE.

```
6
Lattice="-3.5373 -2.9391 -0.7810 3.6673 0.0543 -2.8829 2.3739 -3.6412 2.9512" Properties=species:S:1:pos:R:3 pbc="T T T"
Os 0.0904 -3.3233 -1.8347
Os 2.4134 -3.2027 1.1220
Nb -1.7687 -1.4696 -0.3905
Nb -0.5817 -3.2901 1.0851
W 1.2778 -5.1442 -0.3599
W 1.2260 -1.3818 -0.3527
```

The calculation puts the density at 15.7 g cm⁻³. Its crystal system is hexagonal. The calculated volume is 99.0 Å³/cell. As for the density of states at the Fermi level: 2.0 states/eV/f.u. Its space group is P6_3/mmc. The excess energy over the best structure of this formula in the dataset is 9.1 kJ per mole of atoms. The spin magnetization is 0.0 μB/cell.

Here is an optimized crystal structure of Hg2WI4 from Alexandria. Energies are from PBE.

```
7
Lattice="-4.7263 -2.8934 -0.9359 2.4537 -4.6502 1.9850 -4.1856 -1.6318 9.3075" Properties=species:S:1:pos:R:3 pbc="T T T"
I 1.2269 -2.3251 0.9925
I -2.3632 -1.4467 -0.4680
I -3.3242 -2.2363 6.8265
I -3.1340 -6.9391 3.5301
W 0.0000 0.0000 0.0000
Hg -4.4161 -6.0392 7.2231
Hg -2.0421 -3.1361 3.1335
```

The calculation puts the density at 6.0 g cm⁻³. Its crystal system is tetragonal. The calculated volume is 301.3 Å³/cell. As for the density of states at the Fermi level: 5.1 states/eV/f.u. Its space group is I4/mmm. The formation energy (no corrections) comes out at 199 meV per atom. The spin magnetization is 1.9 μB/cell.

Here is an optimized crystal structure of V2HRuAu from Alexandria. Energies are from PBE.

```
5
Lattice="3.9074 0.0000 0.0000 0.0000 3.9074 0.0000 0.0000 0.0000 3.8950" Properties=species:S:1:pos:R:3 pbc="T T T"
H 0.0000 0.0000 0.0000
V 0.0000 1.9537 0.0000
V 1.9537 0.0000 0.0000
Au 1.9537 1.9537 1.9475
Ru 0.0000 0.0000 1.9475
```

The calculation puts the density at 11.2 g cm⁻³. Its crystal system is tetragonal. The calculated volume is 59.5 Å³/cell. As for the density of states at the Fermi level: 2.6 states/eV/f.u. Its space group is P4/mmm. The excess energy over the best structure of this formula in the dataset is 0.0 kJ per mole of atoms. The spin magnetization is 0.0 μB/cell.

no.,total DFT energy (no corrections) (eV per atom)
1,-11.26
2,-2.62
3,-6.94